(1)
Ac3MgTi2O9: relaxed, PBE.

- total energy (eV per atom) = -8.165
- E_form (uncorrected) (eV/atom) = -3.209

Structure (CIF):
```
data_Ac3MgTi2O9
_chemical_formula_sum 'Ac3 Mg1 Ti2 O9'
_cell_length_a 5.6725
_cell_length_b 5.6725
_cell_length_c 6.9429
_cell_angle_alpha 90.00
_cell_angle_beta 90.00
_cell_angle_gamma 120.00
_space_group_name_H-M_alt 'P -3 m 1'
_space_group_IT_number 164
_space_group_name_Hall '-P 3 2"'
loop_
_atom_site_label
_atom_site_type_symbol
_atom_site_fract_x
_atom_site_fract_y
_atom_site_fract_z
Ac1 Ac 0.0000 0.0000 0.0000
Ac2 Ac 0.3333 0.6667 0.6582
Mg1 Mg 0.0000 0.0000 0.5000
Ti1 Ti 0.3333 0.6667 0.1673
O1 O 0.0000 0.5000 0.0000
O2 O 0.1694 0.3388 0.3297
```

=====

(2)
Ac3Mg2TiO9: relaxed, PBE.

- total energy (eV per atom) = -7.550
- E_form (uncorrected) (eV/atom) = -3.014

Structure (CIF):
```
data_Ac3Mg2TiO9
_chemical_formula_sum 'Ac3 Mg2 Ti1 O9'
_cell_length_a 5.6480
_cell_length_b 5.6480
_cell_length_c 6.9877
_cell_angle_alpha 90.00
_cell_angle_beta 90.00
_cell_angle_gamma 120.00
_space_group_name_H-M_alt 'P -3 m 1'
_space_group_IT_number 164
_space_group_name_Hall '-P 3 2"'
loop_
_atom_site_label
_atom_site_type_symbol
_atom_site_fract_x
_atom_site_fract_y
_atom_site_fract_z
Ac1 Ac 0.0000 0.0000 0.0000
Ac2 Ac 0.3333 0.6667 0.6765
Mg1 Mg 0.3333 0.6667 0.1726
Ti1 Ti 0.0000 0.0000 0.5000
O1 O 0.0000 0.5000 0.0000
O2 O 0.1629 0.3258 0.3382
```

=====

(3)
AcMg2Ti2O7: relaxed, PBE.

- total energy (eV per atom) = -7.824
- E_form (uncorrected) (eV/atom) = -3.008

Structure (CIF):
```
data_AcMg2Ti2O7
_chemical_formula_sum 'Ac2 Mg4 Ti4 O14'
_cell_length_a 4.0610
_cell_length_b 4.0610
_cell_length_c 16.7858
_cell_angle_alpha 90.00
_cell_angle_beta 90.00
_cell_angle_gamma 90.00
_space_group_name_H-M_alt 'I 4/m m m'
_space_group_IT_number 139
_space_group_name_Hall '-I 4 2'
loop_
_atom_site_label
_atom_site_type_symbol
_atom_site_fract_x
_atom_site_fract_y
_atom_site_fract_z
Ac1 Ac 0.0000 0.0000 0.0000
Mg1 Mg 0.0000 0.5000 0.2500
Ti1 Ti 0.0000 0.0000 0.3849
O1 O 0.0000 0.0000 0.2651
O2 O 0.0000 0.0000 0.5000
O3 O 0.0000 0.5000 0.1135
```

=====

(4)
Ac2MgTlO6: relaxed, PBE.

- total energy (eV per atom) = -6.499
- E_form (uncorrected) (eV/atom) = -2.306

Structure (CIF):
```
data_Ac2MgTlO6
_chemical_formula_sum 'Ac4 Mg2 Tl2 O12'
_cell_length_a 5.8787
_cell_length_b 6.0914
_cell_length_c 10.1977
_cell_angle_alpha 90.00
_cell_angle_beta 125.09
_cell_angle_gamma 90.00
_space_group_name_H-M_alt 'P 1 21/c 1'
_space_group_IT_number 14
loop_
_space_group_symop_operation_xyz
'x,y,z'
'-x,-y,-z'
'-x,y+1/2,-z+1/2'
'x,-y+1/2,z+1/2'
loop_
_atom_site_label
_atom_site_type_symbol
_atom_site_fract_x
_atom_site_fract_y
_atom_site_fract_z
Ac1 Ac 0.2366 0.0549 0.2503
Mg1 Mg 0.0000 0.0000 0.5000
Tl1 Tl 0.5000 0.0000 0.0000
O1 O 0.1338 0.2096 0.9450
O2 O 0.2408 0.6921 0.9480
O3 O 0.3407 0.0421 0.7396
```

=====

(5)
Ac2MgUO8: relaxed, PBE.

- total energy (eV per atom) = -7.853
- E_form (uncorrected) (eV/atom) = -2.789

Structure (CIF):
```
data_Ac2MgUO8
_chemical_formula_sum 'Ac2 Mg1 U1 O8'
_cell_length_a 4.1229
_cell_length_b 5.4895
_cell_length_c 7.6532
_cell_angle_alpha 85.14
_cell_angle_beta 89.94
_cell_angle_gamma 89.71
_space_group_name_H-M_alt 'P -1'
_space_group_IT_number 2
loop_
_space_group_symop_operation_xyz
'x,y,z'
'-x,-y,-z'
loop_
_atom_site_label
_atom_site_type_symbol
_atom_site_fract_x
_atom_site_fract_y
_atom_site_fract_z
Ac1 Ac 0.0007 0.0311 0.2510
Mg1 Mg 0.5000 0.5000 0.0000
U1 U 0.5000 0.5000 0.5000
O1 O 0.0009 0.6292 0.0319
O2 O 0.0040 0.7236 0.5116
O3 O 0.4974 0.2377 0.6997
O4 O 0.4987 0.2976 0.2498
```

=====

(6)
Ac2MgUO6: relaxed, PBE.

- total energy (eV per atom) = -8.209
- E_form (uncorrected) (eV/atom) = -3.124

Structure (CIF):
```
data_Ac2MgUO6
_chemical_formula_sum 'Ac4 Mg2 U2 O12'
_cell_length_a 5.9204
_cell_length_b 6.0794
_cell_length_c 10.3258
_cell_angle_alpha 90.00
_cell_angle_beta 124.67
_cell_angle_gamma 90.00
_space_group_name_H-M_alt 'P 1 21/c 1'
_space_group_IT_number 14
loop_
_space_group_symop_operation_xyz
'x,y,z'
'-x,-y,-z'
'-x,y+1/2,-z+1/2'
'x,-y+1/2,z+1/2'
loop_
_atom_site_label
_atom_site_type_symbol
_atom_site_fract_x
_atom_site_fract_y
_atom_site_fract_z
Ac1 Ac 0.2395 0.0470 0.2505
Mg1 Mg 0.0000 0.0000 0.5000
U1 U 0.5000 0.0000 0.0000
O1 O 0.1498 0.2056 0.9476
O2 O 0.2374 0.6986 0.9468
O3 O 0.3433 0.0362 0.7435
```